Material: TlSb2O
Method: DFT, PBE-GGA
State: relaxed

Properties
Space-group type   Fm-3m

Cell: 4.974 4.974 4.974 Å, 60.00 60.00 60.00°
Sites, in units of the cell vectors:
Sb (0.250, 0.250, 0.250)
Sb (0.750, 0.750, 0.750)
Tl (0.500, 0.500, 0.500)
O (0.000, 0.000, 0.000)

=====

Material: SrMnAg2I6
Method: DFT, PBE-GGA
State: relaxed

Properties
Space-group type   C2/c

Cell: 8.206 10.492 10.492 Å, 77.62 73.97 73.97°
Last column: magnetic moment on the atom in μB.
Sites, in units of the cell vectors:
Sr (0.250, 0.853, 0.147)  0.00
Sr (0.750, 0.147, 0.853)  0.00
Mn (0.250, 0.174, 0.826)  4.27
Mn (0.750, 0.826, 0.174)  4.27
Ag (0.350, 0.615, 0.508)  0.00
Ag (0.150, 0.492, 0.385)  0.00
Ag (0.650, 0.385, 0.492)  0.00
Ag (0.850, 0.508, 0.615)  0.00
I (0.155, 0.945, 0.825)  0.05
I (0.345, 0.175, 0.055)  0.05
I (0.845, 0.055, 0.175)  0.05
I (0.655, 0.825, 0.945)  0.05
I (0.461, 0.865, 0.374)  0.03
I (0.039, 0.626, 0.135)  0.03
I (0.539, 0.135, 0.626)  0.03
I (0.961, 0.374, 0.865)  0.03
I (0.989, 0.738, 0.518)  0.00
I (0.511, 0.482, 0.262)  0.00
I (0.011, 0.262, 0.482)  0.00
I (0.489, 0.518, 0.738)  0.00

=====

Material: NaPm2ReN4
Method: DFT, PBE-GGA
State: relaxed

Properties
Space-group type   Cmcm

Cell: 3.478 6.662 12.362 Å, 90.00 90.00 105.13°
Sites, in units of the cell vectors:
Na (0.050, 0.101, 0.750)
Na (0.950, 0.899, 0.250)
Pm (0.374, 0.747, 0.538)
Pm (0.626, 0.253, 0.038)
Pm (0.626, 0.253, 0.462)
Pm (0.374, 0.747, 0.962)
Re (0.802, 0.605, 0.750)
Re (0.198, 0.395, 0.250)
N (0.257, 0.514, 0.114)
N (0.743, 0.486, 0.614)
N (0.743, 0.486, 0.886)
N (0.257, 0.514, 0.386)
N (0.000, 0.000, 0.500)
N (0.000, 0.000, 0.000)
N (0.382, 0.764, 0.750)
N (0.618, 0.236, 0.250)

=====

no.,E_form (uncorrected) (eV/atom)
1,0.357
2,-0.708
3,-0.691